[1]
A geometry-optimized SrPdSe structure. Source: Alexandria via LeMat-Bulk, functional PBE.

Unit cell a=9.172 b=4.261 c=8.108 alpha=90.00 beta=90.00 gamma=90.00
Element x y z (fractional)
Sr (0.788, 0.250, 0.489)
Sr (0.712, 0.750, 0.989)
Sr (0.212, 0.750, 0.511)
Sr (0.288, 0.250, 0.011)
Se (0.057, 0.250, 0.723)
Se (0.443, 0.750, 0.223)
Se (0.943, 0.750, 0.277)
Se (0.557, 0.250, 0.777)
Pd (0.469, 0.250, 0.390)
Pd (0.031, 0.750, 0.890)
Pd (0.531, 0.750, 0.610)
Pd (0.969, 0.250, 0.110)

Computed properties:
The calculation puts the density of states at the Fermi level at 2.1 states/eV per cell. The calculation puts the total magnetization at 0.00 μB per formula unit. As for the total energy: -4.558 eV/atom.



[2]
A geometry-optimized Tl2AgSn2 structure. Source: Alexandria via LeMat-Bulk, functional PBE.

Unit cell a=5.704 b=6.603 c=8.499 alpha=112.86 beta=109.61 gamma=90.00
Element x y z (fractional)
Tl (0.183, 0.865, 0.366)
Tl (0.817, 0.135, 0.634)
Tl (0.317, 0.498, 0.634)
Tl (0.683, 0.502, 0.366)
Ag (0.250, 0.500, 0.000)
Ag (0.750, 0.500, 0.000)
Sn (0.579, 0.927, 0.158)
Sn (0.421, 0.073, 0.842)
Sn (0.921, 0.769, 0.842)
Sn (0.079, 0.231, 0.158)

Computed properties:
The calculation puts the density of states at the Fermi level at 5.0 states/eV per cell. As for the energy of formation from the pure elements: 0.1 eV per formula unit. The calculation puts the total magnetization at 0.00 μB per formula unit. The energy above the most stable polymorph in this dataset comes out at 0.000 eV per atom. As for the total energy: -3.094 eV/atom.



[3]
A geometry-optimized LiCdPt2 structure. Source: Alexandria via LeMat-Bulk, functional PBE.

Unit cell a=2.821 b=2.821 c=9.405 alpha=81.37 beta=81.37 gamma=60.00
Element x y z (fractional)
Li (0.667, 0.667, 0.000)
Cd (0.500, 0.500, 0.500)
Pt (0.077, 0.077, 0.770)
Pt (0.257, 0.257, 0.230)

Computed properties:
The calculation puts the density of states at the Fermi level at 2.6 states/eV per cell. As for the energy of formation from the pure elements: -1.3 eV per formula unit. The calculation puts the total magnetization at 0.00 μB per formula unit. As for the total energy: -4.052 eV/atom.



[4]
A geometry-optimized TiTlTe2Cl structure. Source: Alexandria via LeMat-Bulk, functional PBE.

Unit cell a=5.492 b=5.492 c=4.834 alpha=90.00 beta=90.00 gamma=90.00
Element x y z (fractional)
Cl (0.000, 0.000, 0.500)
Tl (0.500, 0.500, 0.500)
Te (0.000, 0.500, 0.000)
Te (0.500, 0.000, 0.000)
Ti (0.000, 0.000, 0.000)

Computed properties:
The calculation puts the density of states at the Fermi level at 2.0 states/eV per cell. The calculation puts the total magnetization at 0.00 μB per formula unit. As for the total energy: -4.318 eV/atom.